[1]
LaCdTe4 | PBE | relaxed

Cell lengths 6.4423, 6.4423, 6.4423 Å; angles 60.00, 60.00, 60.00 degrees
Closest atoms and distances in Å follow each position.
Atoms (fractional coordinates):
Te 0.8756 0.3748 0.3748  6 Te 3.22-3.23
Te 0.3748 0.3748 0.8756  6 Te 3.22-3.23
Cd 0.7500 0.7500 0.7500  12 Te 3.78, 4 La 3.95
Te 0.3748 0.3748 0.3748  6 Te 3.22-3.23
Te 0.3748 0.8756 0.3748  6 Te 3.22-3.23
La 0.0000 0.0000 0.0000  12 Te 3.78, 4 Cd 3.95

Properties
Calculated density, Mg/m³: 6.69
Formation energy without anion corrections, eV per atom: -0.1903
Fermi-level density of states, states/eV/f.u.: 4.60
Total moment, μB per atom: 0.000

***

[2]
La6CdTe5 | PBE | relaxed

Cell lengths 7.9289, 7.9656, 7.9478 Å; angles 59.93, 80.40, 70.56 degrees
Closest atoms and distances in Å follow each position.
Atoms (fractional coordinates):
La 0.2502 0.2498 0.0000  5 Te 3.24-3.25, 1 Cd 3.24
La 0.2492 0.5834 0.3340  5 Te 3.23-3.25, 1 Cd 3.24
Te 0.0000 0.6659 0.6682  6 La 3.24
Te 0.5000 0.8323 0.3355  6 La 3.23-3.25
La 0.7508 0.0826 0.3340  5 Te 3.23-3.25, 1 Cd 3.24
Te 0.5000 0.5000 0.0000  6 La 3.24-3.25
Te 0.0000 0.3341 0.3318  6 La 3.24
La 0.2492 0.9174 0.6660  5 Te 3.23-3.25, 1 Cd 3.24
Te 0.5000 0.1677 0.6645  6 La 3.23-3.25
Cd 0.0000 0.0000 0.0000  6 La 3.24
La 0.7498 0.7502 0.0000  5 Te 3.24-3.25, 1 Cd 3.24
La 0.7508 0.4166 0.6660  5 Te 3.23-3.25, 1 Cd 3.24

Properties
Calculated density, Mg/m³: 6.42
Formation energy without anion corrections, eV per atom: -1.3624
Fermi-level density of states, states/eV/f.u.: 7.56
Total moment, μB per atom: 0.000

***

[3]
LaCd2Te | PBE | relaxed

Cell lengths 8.8728, 8.8728, 7.0167 Å; angles 50.78, 50.78, 90.00 degrees
Closest atoms and distances in Å follow each position.
Atoms (fractional coordinates):
Cd 0.3750 0.3967 0.7500  2 Te 3.10, 2 Cd 3.17, 2 La 3.37
La 0.7500 0.2500 0.5000  2 Te 3.14, 4 Cd 3.37
Te 0.5000 0.5000 0.0000  4 Cd 3.10, 2 La 3.14
Cd 0.1467 0.6250 0.2500  2 Te 3.10, 2 Cd 3.17, 2 La 3.37
Cd 0.6033 0.1250 0.2500  2 Te 3.10, 2 Cd 3.17, 2 La 3.37
Te 0.2500 0.7500 0.5000  4 Cd 3.10, 2 La 3.14
La 0.0000 0.0000 0.0000  2 Te 3.14, 4 Cd 3.37
Cd 0.8750 0.8533 0.7500  2 Te 3.10, 2 Cd 3.17, 2 La 3.37

Properties
Calculated density, Mg/m³: 6.60
Formation energy without anion corrections, eV per atom: -0.4625
Fermi-level density of states, states/eV/f.u.: 2.35
Total moment, μB per atom: 0.000

***

[4]
La2CdTe | PBE | relaxed

Cell lengths 4.5217, 4.6582, 6.5256 Å; angles 90.00, 90.00, 90.00 degrees
Closest atoms and distances in Å follow each position.
Atoms (fractional coordinates):
Cd 0.5000 0.5000 0.8748  6 La 3.25-3.26
La 0.0000 0.0000 0.8752  4 Cd 3.25, 2 Te 3.26
La 0.5000 0.5000 0.3749  4 Te 3.25, 2 Cd 3.26
Te 0.0000 0.0000 0.3751  6 La 3.25-3.26

Properties
Calculated density, Mg/m³: 6.26
Formation energy without anion corrections, eV per atom: -0.8431
Fermi-level density of states, states/eV/f.u.: 3.72
Total moment, μB per atom: 0.000
Relative energy among the computed polymorphs, meV per atom: 11

***

- formation energy without anion corrections of number 1 (LaCdTe4)?
  -0.1903 eV per atom

***

- The lowest formation energy without anion corrections belongs to which entry?
  La6CdTe5

***

- The lowest calculated density belongs to which entry?
  La2CdTe

***

- What is the formula in the fourth record?
  La2CdTe